# 1
SbPAu2 | GGA-PBE | relaxed

Structure (extended XYZ):
```
4
Lattice="-2.256 0.234 6.159 -5.826 1.587 2.572 3.477 -3.468 -4.355" Properties=species:S:1:pos:R:3 pbc="T T T"
P -4.073 0.918 4.400
Au -8.016 1.806 8.660
Sb -0.952 -1.265 2.590
Au -3.688 -0.374 1.824
```

Summary:
The value obtained for the electronic total energy is -3.8331 eV/atom. For the uncorrected formation energy, the calculation gives 0.1886 eV per atom. The offset from the most stable computed form is 0.0950 eV/atom. The magnetic moment comes out at 0.00 μB/cell. The space group is Imm2.



# 2
SbP2Au | GGA-PBE | relaxed

Structure (extended XYZ):
```
4
Lattice="8.885 -0.078 -0.046 8.287 3.205 -0.046 8.287 1.509 2.828" Properties=species:S:1:pos:R:3 pbc="T T T"
P 7.074 1.288 0.760
Au 18.840 3.431 2.025
P 25.273 4.603 2.716
Sb 12.463 2.270 1.339
```

Summary:
The value obtained for the electronic total energy is -4.3838 eV/atom. For the uncorrected formation energy, the calculation gives 0.1711 eV per atom. The magnetic moment comes out at 0.00 μB/cell. The space group is R3m.



# 3
SbPAu3 | GGA-PBE | relaxed

Structure (extended XYZ):
```
5
Lattice="-3.285 -2.789 2.140 -1.714 -1.287 -4.307 3.069 -3.703 -0.115" Properties=species:S:1:pos:R:3 pbc="T T T"
Sb -0.964 -3.889 -1.141
Au -1.642 -1.394 1.070
Au 1.535 -1.851 -0.057
P 0.000 0.000 0.000
Au -0.857 -0.644 -2.154
```

Summary:
The value obtained for the electronic total energy is -3.5013 eV/atom. For the uncorrected formation energy, the calculation gives 0.3716 eV per atom. The offset from the most stable computed form is 0.0000 eV/atom. The magnetic moment comes out at 0.00 μB/cell. The space group is Pm-3m.



# 4
SbP2Au | GGA-PBE | relaxed

Structure (extended XYZ):
```
4
Lattice="-5.557 -1.468 -3.211 -3.209 -4.437 -3.655 -5.184 -4.036 -0.421" Properties=species:S:1:pos:R:3 pbc="T T T"
Au -10.463 -7.455 -5.466
P -6.887 -4.908 -3.598
P -0.088 -0.062 -0.046
Sb -3.488 -2.485 -1.822
```

Summary:
The value obtained for the electronic total energy is -4.4035 eV/atom. For the uncorrected formation energy, the calculation gives 0.1513 eV per atom. The magnetic moment comes out at 0.00 μB/cell. The space group is R-3m.



# 5
SbPAu2 | GGA-PBE | relaxed

Structure (extended XYZ):
```
4
Lattice="2.301 -4.404 -1.610 -1.190 -3.806 3.373 -3.033 3.415 -2.534" Properties=species:S:1:pos:R:3 pbc="T T T"
Au -1.834 -2.248 0.860
Sb -0.088 -2.547 -1.631
P 0.556 -4.105 0.882
Au 0.000 0.000 0.000
```

Summary:
The value obtained for the electronic total energy is -3.6789 eV/atom. For the uncorrected formation energy, the calculation gives 0.3428 eV per atom. The offset from the most stable computed form is 0.2492 eV/atom. The magnetic moment comes out at 0.00 μB/cell. The space group is I-4m2.



# 6
SbP2Au2 | GGA-PBE | relaxed

Structure (extended XYZ):
```
5
Lattice="-1.573 -3.698 0.716 2.289 -1.555 -3.001 4.745 -3.734 2.778" Properties=species:S:1:pos:R:3 pbc="T T T"
P 1.765 -5.029 1.175
Sb 0.000 0.000 0.000
Au 4.101 -6.107 0.740
Au 1.360 -2.879 -0.247
P 3.696 -3.957 -0.683
```

Summary:
The value obtained for the electronic total energy is -3.9297 eV/atom. For the uncorrected formation energy, the calculation gives 0.3696 eV per atom. The magnetic moment comes out at 0.00 μB/cell. The space group is I4/mmm.



# 7
SbP2Au | GGA-PBE | relaxed

Structure (extended XYZ):
```
4
Lattice="3.465 0.063 0.000 -1.480 3.134 0.000 0.000 0.000 7.422" Properties=species:S:1:pos:R:3 pbc="T T T"
P 0.000 0.000 3.880
Au 0.992 1.598 5.566
P 0.000 0.000 7.252
Sb 0.992 1.598 1.855
```

Summary:
The value obtained for the electronic total energy is -4.0316 eV/atom. For the uncorrected formation energy, the calculation gives 0.5233 eV per atom. The magnetic moment comes out at 0.00 μB/cell. The space group is Cmmm.



# 8
SbPAu4 | GGA-PBE | relaxed

Structure (extended XYZ):
```
6
Lattice="4.263 -3.044 -1.867 2.036 -4.136 3.110 -0.815 -5.285 -1.525" Properties=species:S:1:pos:R:3 pbc="T T T"
Au 2.057 -4.675 -0.106
P 4.113 -9.349 -0.212
Au 1.650 -7.317 -0.868
Au 3.074 -6.742 1.448
Sb 0.000 0.000 0.000
Au 4.187 -6.196 -1.039
```

Summary:
The value obtained for the electronic total energy is -3.4450 eV/atom. For the uncorrected formation energy, the calculation gives 0.3286 eV per atom. The magnetic moment comes out at 0.00 μB/cell. The space group is F-43m.